(1)
Computed, not measured: a relaxed structure of Na2MgMnCl at the PBE level of DFT.

```
Na2MgMnCl
1.0
5.0915 0.0000 0.0000
0.0000 5.5008 0.0000
0.0000 0.0000 5.0915
Na Mg Mn Cl
2 1 1 1
direct
0.0000 0.0000 0.5000 Na
0.5000 0.0000 0.0000 Na
0.0000 0.5000 0.0000 Mg
0.5000 0.5000 0.5000 Mn
0.0000 0.0000 0.0000 Cl
```

Computed properties:
**Raw formation energy**: 0.06 eV/atom
**DOS at the Fermi energy**: 0.68 states/eV/atom

***

(2)
Computed, not measured: a relaxed structure of Na2MgMnCl at the PBE level of DFT.

```
Na2MgMnCl
1.0
5.8209 0.0000 0.0000
0.0000 5.3344 0.0000
0.0000 0.0000 5.8209
Na Mg Mn Cl
2 1 1 1
direct
0.0000 0.0000 0.5000 Na
0.5000 0.0000 0.0000 Na
0.0000 0.5000 0.0000 Mg
0.0000 0.0000 0.0000 Mn
0.5000 0.5000 0.5000 Cl
```

Computed properties:
**Raw formation energy**: 0.35 eV/atom
**DOS at the Fermi energy**: 1.05 states/eV/atom

***

(3)
Computed, not measured: a relaxed structure of NaMg2MnCl8 at the PBE level of DFT.

```
NaMg2MnCl8
1.0
-1.6658 -6.1526 -0.1690
0.2178 -0.1022 -5.9862
7.1776 -1.9514 0.2944
Na Mg Mn Cl
1 2 1 8
direct
0.0000 0.0000 0.5000 Na
0.5000 0.5000 0.7546 Mg
0.5000 0.5000 0.2454 Mg
0.0000 0.0000 0.0000 Mn
0.1575 0.7796 0.2161 Cl
0.6581 0.7220 0.0000 Cl
0.8425 0.2204 0.2161 Cl
0.8425 0.2204 0.7839 Cl
0.3419 0.2780 0.0000 Cl
0.1575 0.7796 0.7839 Cl
0.6591 0.7025 0.5000 Cl
0.3409 0.2975 0.5000 Cl
```

Computed properties:
**Raw formation energy**: -1.49 eV/atom

***

Q: Look up the raw formation energy of the third one.
A: -1.49 eV/atom